{
  "formula": "AlZnIn4",
  "functional": "SCAN",
  "state": "PBEsol geometry",
  "volume_a3_per_atom": 24.9,
  "final_energy_ev_per_cell": -152.27,
  "lattice_angstrom": [[-0.211, -5.682, -1.781], [2.198, -4.300, 3.490], [-3.687, -3.830, 2.690]],
  "species": ["Al", "Zn", "In", "In", "In", "In"],
  "frac_coords": [[0.000, 0.000, 0.000], [0.750, 0.750, 0.750], [0.375, 0.875, 0.375], [0.375, 0.375, 0.375], [0.875, 0.375, 0.375], [0.375, 0.375, 0.875]]
}

{
  "formula": "CuSbSe2",
  "functional": "SCAN",
  "state": "PBEsol geometry",
  "e_form_raw_ev_per_fu": -0.4,
  "volume_a3_per_atom": 20.5,
  "lattice_angstrom": [[3.912, 0.000, 0.000], [1.956, 3.386, 0.040], [1.956, 1.077, 6.209]],
  "species": ["Se", "Se", "Cu", "Sb"],
  "frac_coords": [[0.262, 0.764, 0.713], [0.738, 0.236, 0.287], [0.000, 0.500, 0.500], [0.500, 0.000, 0.000]]
}

{
  "formula": "Hg2PtW",
  "functional": "SCAN",
  "state": "PBEsol geometry",
  "volume_a3_per_atom": 17.5,
  "final_energy_ev_per_cell": -273.85,
  "lattice_angstrom": [[-0.794, -0.958, 2.531], [-0.333, -4.423, -1.779], [5.009, -0.814, 1.088]],
  "species": ["W", "Hg", "Hg", "Pt"],
  "frac_coords": [[0.000, 0.500, 0.500], [0.713, 0.000, 0.749], [0.287, 0.000, 0.251], [0.500, 0.500, 0.000]]
}

{
  "formula": "ScAu2",
  "functional": "SCAN",
  "state": "PBEsol geometry",
  "volume_a3_per_atom": 19.8,
  "final_energy_ev_per_cell": -308.97,
  "lattice_angstrom": [[-1.001, 3.943, 3.702], [-1.221, -5.219, 1.237], [5.207, -1.356, -1.141]],
  "species": ["Sc", "Sc", "Au", "Au", "Au", "Au"],
  "frac_coords": [[0.000, 0.750, 0.750], [0.000, 0.250, 0.250], [0.166, 0.333, 0.833], [0.834, 0.667, 0.167], [0.500, 0.833, 0.667], [0.500, 0.167, 0.333]]
}

{
  "formula": "OsSe2Cl",
  "functional": "SCAN",
  "state": "PBEsol geometry",
  "e_form_raw_ev_per_fu": 5.1,
  "volume_a3_per_atom": 16.5,
  "lattice_angstrom": [[3.153, 0.000, 0.000], [0.000, 4.355, 0.000], [0.000, 0.000, 4.795]],
  "species": ["Os", "Cl", "Se", "Se"],
  "frac_coords": [[0.000, 0.500, 0.500], [0.500, 0.000, 0.500], [0.000, 0.000, 0.000], [0.500, 0.500, 0.000]]
}

{
  "formula": "BaMnO2F",
  "functional": "SCAN",
  "state": "PBEsol geometry",
  "e_form_raw_ev_per_fu": -14.4,
  "volume_a3_per_atom": 12.9,
  "lattice_angstrom": [[3.905, 0.000, 0.000], [0.000, 3.905, 0.000], [0.000, 0.000, 4.242]],
  "species": ["O", "O", "Ba", "Mn", "F"],
  "frac_coords": [[0.000, 0.500, 0.000], [0.500, 0.000, 0.000], [0.500, 0.500, 0.500], [0.000, 0.000, 0.000], [0.000, 0.000, 0.500]]
}

{
  "formula": "HoAlO3",
  "functional": "SCAN",
  "state": "PBEsol geometry",
  "e_form_raw_ev_per_fu": -18.6,
  "volume_a3_per_atom": 10.0,
  "lattice_angstrom": [[5.136, 0.000, 0.000], [0.000, 5.322, 0.000], [0.000, 0.000, 7.338]],
  "species": ["O", "O", "O", "O", "O", "O", "O", "O", "O", "O", "O", "O", "Ho", "Ho", "Ho", "Ho", "Al", "Al", "Al", "Al"],
  "frac_coords": [[0.797, 0.796, 0.453], [0.297, 0.704, 0.953], [0.090, 0.476, 0.250], [0.590, 0.024, 0.750], [0.410, 0.976, 0.250], [0.297, 0.704, 0.547], [0.797, 0.796, 0.047], [0.703, 0.296, 0.453], [0.203, 0.204, 0.953], [0.910, 0.524, 0.750], [0.703, 0.296, 0.047], [0.203, 0.204, 0.547], [0.514, 0.558, 0.250], [0.986, 0.058, 0.250], [0.486, 0.442, 0.750], [0.014, 0.942, 0.750], [0.000, 0.500, 0.000], [0.500, 0.000, 0.500], [0.000, 0.500, 0.500], [0.500, 0.000, 0.000]]
}

{
  "formula": "BaHgO2F",
  "functional": "SCAN",
  "state": "PBEsol geometry",
  "e_form_raw_ev_per_fu": -4.5,
  "volume_a3_per_atom": 24.7,
  "lattice_angstrom": [[-0.643, 1.288, -4.680], [4.676, -1.485, -1.051], [-1.696, -4.607, -1.035]],
  "species": ["O", "O", "F", "Ba", "Hg"],
  "frac_coords": [[0.000, 0.500, 0.000], [0.000, 0.000, 0.500], [0.500, 0.000, 0.000], [0.000, 0.000, 0.000], [0.500, 0.500, 0.500]]
}

{
  "formula": "TaCSe3",
  "functional": "SCAN",
  "state": "PBEsol geometry",
  "e_form_raw_ev_per_fu": 5.8,
  "volume_a3_per_atom": 15.6,
  "lattice_angstrom": [[-0.833, 3.815, 1.742], [-3.807, 0.057, -1.945], [-1.759, -1.930, 3.386]],
  "species": ["C", "Ta", "Se", "Se", "Se"],
  "frac_coords": [[0.000, 0.000, 0.000], [0.500, 0.500, 0.500], [0.500, 0.000, 0.000], [0.000, 0.000, 0.500], [0.000, 0.500, 0.000]]
}

{
  "formula": "Zr2MnCo",
  "functional": "SCAN",
  "state": "PBEsol geometry",
  "volume_a3_per_atom": 15.8,
  "final_energy_ev_per_cell": -96.92,
  "lattice_angstrom": [[-1.943, -0.987, 2.980], [0.870, -3.536, -0.604], [4.324, 2.745, 1.442]],
  "species": ["Mn", "Zr", "Zr", "Co"],
  "frac_coords": [[0.250, 0.750, 0.500], [0.000, 0.000, 0.000], [0.750, 0.250, 0.500], [0.500, 0.500, 0.000]]
}

{
  "formula": "ZrAg3",
  "functional": "SCAN",
  "state": "PBEsol geometry",
  "volume_a3_per_atom": 18.0,
  "final_energy_ev_per_cell": -124.53,
  "lattice_angstrom": [[-2.687, 0.712, -1.200], [1.939, -0.274, -4.507], [-0.774, -4.906, 2.644]],
  "species": ["Ag", "Ag", "Ag", "Zr"],
  "frac_coords": [[0.761, 0.683, 0.522], [0.239, 0.161, 0.478], [0.500, 0.911, 0.000], [0.000, 0.412, 0.000]]
}

{
  "formula": "LiCa2Cd",
  "functional": "SCAN",
  "state": "PBEsol geometry",
  "volume_a3_per_atom": 31.7,
  "final_energy_ev_per_cell": -52.31,
  "lattice_angstrom": [[-1.690, 0.466, 3.338], [-3.747, -0.310, 0.275], [-0.839, -10.018, 3.103]],
  "species": ["Li", "Ca", "Ca", "Cd"],
  "frac_coords": [[0.000, 0.000, 0.000], [0.757, 0.757, 0.730], [0.243, 0.243, 0.270], [0.500, 0.500, 0.500]]
}

In the order shown, the computed M_tot values come out to 0.0, 0.0, 0.0, 0.0, 0.0, 4.0, 0.0, 3.0, 1.2, 2.2, 0.0, 0.0 μB per cell.